Below is AcHf5 after structural relaxation, with properties calculated at the PBE level.

```
AcHf5
1.0
-4.342 1.439 0.792
-1.576 -3.166 -2.888
0.245 -2.962 6.724
Hf Ac
5 1
Direct
0.500 0.826 0.653
0.000 0.675 0.351
0.500 0.500 0.000
0.500 0.174 0.347
0.000 0.325 0.649
0.000 0.000 0.000
```

Summary:
As for the calculated total energy: -0.321 hartree per atom. The calculation puts the energy of formation from the pure elements at 1.52 eV/f.u. Its total moment is 0.0 μB/f.u. Its symmetry is No. 65.